[1]
Material: TlZn2Mo
Method: DFT, PBE
State: relaxed

Computed properties:
* space-group type: P4mm (99)
* spin magnetization: 0.00 μB/f.u.
* excess energy over the best structure of this formula in the dataset: 0.113 eV per atom
* DOS at the Fermi energy: 2.633 states/eV/f.u.
* total energy: -3.498 eV per atom
* energy relative to the elements: 0.438 eV/atom

Cell lengths 2.847, 2.847, 9.062 Å; angles 90.00, 90.00, 90.04 degrees
Element x y z (fractional)
Zn (0.500, 0.500, 0.252)
Zn (0.000, 0.000, 0.045)
Tl (0.500, 0.500, 0.739)
Mo (0.000, 0.000, 0.465)

[2]
Material: LiCdNi2Hg
Method: DFT, PBE
State: relaxed

Computed properties:
* space-group type: P4/mmm (123)
* spin magnetization: 0.00 μB/f.u.
* DOS at the Fermi energy: 2.788 states/eV/f.u.
* total energy: -2.355 eV per atom
* energy relative to the elements: 0.584 eV/atom

Cell lengths 4.211, 4.517, 4.211 Å; angles 90.00, 90.00, 90.00 degrees
Element x y z (fractional)
Cd (0.000, 0.500, 0.000)
Li (0.000, 0.000, 0.000)
Hg (0.500, 0.500, 0.500)
Ni (0.500, 0.000, 0.000)
Ni (0.000, 0.000, 0.500)

[3]
Material: CsCrI2Cl
Method: DFT, PBE
State: relaxed

Computed properties:
* space-group type: P4/mmm (123)
* spin magnetization: 4.00 μB/f.u.
* DOS at the Fermi energy: 1.087 states/eV/f.u.
* total energy: -4.050 eV per atom
* ΔE_f (raw): -966 meV per atom

Cell lengths 5.870, 5.870, 5.002 Å; angles 90.00, 90.00, 90.00 degrees
Each line ends with the local moment (μB).
Element x y z (fractional)
I (0.500, 0.000, 0.000)  -0.03
I (0.000, 0.500, 0.000)  -0.03
Cs (0.500, 0.500, 0.500)  0.00
Cl (0.000, 0.000, 0.500)  -0.01
Cr (0.000, 0.000, 0.000)  3.70

[4]
Material: PmZrPdPt
Method: DFT, PBE
State: relaxed

Computed properties:
* space-group type: F-43m (216)
* spin magnetization: 0.00 μB/f.u.
* DOS at the Fermi energy: 2.326 states/eV/f.u.
* total energy: -6.895 eV per atom
* energy relative to the elements: -0.762 eV/atom

Cell lengths 4.906, 4.906, 4.906 Å; angles 60.00, 60.00, 60.00 degrees
Element x y z (fractional)
Pd (0.250, 0.250, 0.250)
Pm (0.000, 0.000, 0.000)
Pt (0.750, 0.750, 0.750)
Zr (0.500, 0.500, 0.500)

[5]
Material: SrMgSe2
Method: DFT, PBE
State: relaxed

Computed properties:
* space-group type: P2/m (10)
* spin magnetization: 0.00 μB/f.u.
* total energy: -3.957 eV per atom
* ΔE_f (raw): -1396 meV per atom

Cell lengths 3.741, 4.049, 7.289 Å; angles 82.86, 90.00, 90.00 degrees
Element x y z (fractional)
Sr (0.500, 0.250, 0.250)
Se (0.000, 0.817, 0.000)
Se (0.000, 0.683, 0.500)
Mg (0.500, 0.750, 0.750)

[6]
Material: Ac4Sn2I5
Method: DFT, PBE
State: relaxed

Computed properties:
* space-group type: C2/m (12)
* spin magnetization: 0.00 μB/f.u.
* DOS at the Fermi energy: 4.380 states/eV/f.u.
* total energy: -4.009 eV per atom
* ΔE_f (raw): -1083 meV per atom

Cell lengths 4.700, 9.168, 13.314 Å; angles 82.20, 100.17, 90.00 degrees
Element x y z (fractional)
Ac (0.987, 0.284, 0.974)
Ac (0.336, 0.447, 0.672)
Ac (0.664, 0.553, 0.328)
Ac (0.013, 0.716, 0.026)
Sn (0.554, 0.449, 0.109)
Sn (0.446, 0.551, 0.891)
I (0.782, 0.685, 0.564)
I (0.136, 0.811, 0.273)
I (0.864, 0.189, 0.727)
I (0.218, 0.315, 0.436)
I (0.500, 0.000, 0.000)

[7]
Material: KPmAgBr6
Method: DFT, PBE
State: relaxed

Computed properties:
* space-group type: P-31c (163)
* spin magnetization: 1.11 μB/f.u.
* DOS at the Fermi energy: 8.205 states/eV/f.u.
* total energy: -3.343 eV per atom
* ΔE_f (raw): -1261 meV per atom

Cell lengths 7.330, 7.330, 14.565 Å; angles 90.00, 90.00, 120.00 degrees
Each line ends with the local moment (μB).
Element x y z (fractional)
Br (0.369, 0.378, 0.864)  0.10
Br (0.009, 0.631, 0.864)  0.10
Br (0.622, 0.991, 0.864)  0.10
Br (0.631, 0.009, 0.364)  0.10
Br (0.009, 0.378, 0.636)  0.10
Br (0.991, 0.369, 0.136)  0.10
Br (0.378, 0.009, 0.136)  0.10
Br (0.378, 0.369, 0.364)  0.10
Br (0.369, 0.991, 0.636)  0.10
Br (0.631, 0.622, 0.136)  0.10
Br (0.991, 0.622, 0.364)  0.10
Br (0.622, 0.631, 0.636)  0.10
Ag (0.333, 0.667, 0.750)  0.29
Ag (0.667, 0.333, 0.250)  0.29
K (0.000, 0.000, 0.000)  0.00
K (0.000, 0.000, 0.500)  0.00
Pm (0.667, 0.333, 0.750)  -0.01
Pm (0.333, 0.667, 0.250)  -0.01

[8]
Material: TiHIr3
Method: DFT, PBE
State: relaxed

Computed properties:
* space-group type: Pm-3m (221)
* spin magnetization: 0.00 μB/f.u.
* excess energy over the best structure of this formula in the dataset: 0.032 eV per atom
* DOS at the Fermi energy: 1.297 states/eV/f.u.
* total energy: -8.053 eV per atom

Cell lengths 3.933, 3.933, 3.933 Å; angles 90.00, 90.00, 90.00 degrees
Element x y z (fractional)
Ti (0.500, 0.500, 0.500)
H (0.000, 0.000, 0.000)
Ir (0.000, 0.000, 0.500)
Ir (0.000, 0.500, 0.000)
Ir (0.500, 0.000, 0.000)

[9]
Material: GaPb3C
Method: DFT, PBE
State: relaxed

Computed properties:
* space-group type: Pm-3m (221)
* spin magnetization: 0.00 μB/f.u.
* excess energy over the best structure of this formula in the dataset: 0.000 eV per atom
* DOS at the Fermi energy: 4.779 states/eV/f.u.
* total energy: -3.733 eV per atom
* energy relative to the elements: 0.942 eV/atom

Cell lengths 5.062, 5.062, 5.062 Å; angles 90.00, 90.00, 90.00 degrees
Element x y z (fractional)
Pb (0.500, 0.000, 0.000)
Pb (0.000, 0.500, 0.000)
Pb (0.000, 0.000, 0.500)
Ga (0.500, 0.500, 0.500)
C (0.000, 0.000, 0.000)

[10]
Material: Y2Mg2F
Method: DFT, PBE
State: relaxed

Computed properties:
* space-group type: P4/mbm (127)
* spin magnetization: 0.00 μB/f.u.
* excess energy over the best structure of this formula in the dataset: 0.000 eV per atom
* DOS at the Fermi energy: 4.452 states/eV/f.u.
* total energy: -4.159 eV per atom
* ΔE_f (raw): -561 meV per atom

Cell lengths 6.436, 6.436, 5.900 Å; angles 90.00, 90.00, 90.00 degrees
Element x y z (fractional)
F (0.500, 0.500, 0.000)
F (0.000, 0.000, 0.000)
Y (0.662, 0.838, 0.500)
Y (0.838, 0.338, 0.500)
Y (0.162, 0.662, 0.500)
Y (0.338, 0.162, 0.500)
Mg (0.665, 0.165, 0.000)
Mg (0.335, 0.835, 0.000)
Mg (0.165, 0.335, 0.000)
Mg (0.835, 0.665, 0.000)

[11]
Material: FeMoPtRh2
Method: DFT, PBE
State: relaxed

Computed properties:
* space-group type: P4/mmm (123)
* spin magnetization: 1.92 μB/f.u.
* DOS at the Fermi energy: 5.856 states/eV/f.u.
* total energy: -6.679 eV per atom
* energy relative to the elements: 1.328 eV/atom

Cell lengths 4.619, 4.391, 4.619 Å; angles 90.00, 90.00, 90.00 degrees
Each line ends with the local moment (μB).
Element x y z (fractional)
Rh (0.000, 0.000, 0.500)  -0.02
Rh (0.500, 0.000, 0.000)  0.09
Fe (0.000, 0.500, 0.000)  1.98
Mo (0.000, 0.000, 0.000)  -0.27
Pt (0.500, 0.500, 0.500)  0.13